(1)
DFT (PBE) results for a relaxed structure of Cr3SiPb.

Cell and atoms, written as CIF:
```
data_Cr3SiPb
_chemical_formula_sum 'Cr3 Si1 Pb1'
_cell_length_a 4.3400
_cell_length_b 4.3400
_cell_length_c 4.3400
_cell_angle_alpha 90.00
_cell_angle_beta 90.00
_cell_angle_gamma 90.00
_symmetry_space_group_name_H-M 'P m -3 m'
_symmetry_Int_Tables_number 221
_symmetry_space_group_name_Hall '-P 4 2 3'
loop_
_atom_site_label
_atom_site_type_symbol
_atom_site_fract_x
_atom_site_fract_y
_atom_site_fract_z
Cr1 Cr 0.0000 0.0000 0.5000
Si1 Si 0.0000 0.0000 0.0000
Pb1 Pb 0.5000 0.5000 0.5000
```

Calculated values
Fermi-level density of states, states/eV per cell: 11.3
Total moment, μB per cell: 0.0
V, Å³/atom: 16.35
Distance to the lowest polymorph of the same formula, eV/atom: 0.000

***

(2)
DFT (PBE) results for a relaxed structure of CrSiPb3.

Cell and atoms, written as CIF:
```
data_CrSiPb3
_chemical_formula_sum 'Cr1 Si1 Pb3'
_cell_length_a 5.2240
_cell_length_b 5.2240
_cell_length_c 5.2240
_cell_angle_alpha 90.00
_cell_angle_beta 90.00
_cell_angle_gamma 90.00
_symmetry_space_group_name_H-M 'P m -3 m'
_symmetry_Int_Tables_number 221
_symmetry_space_group_name_Hall '-P 4 2 3'
loop_
_atom_site_label
_atom_site_type_symbol
_atom_site_fract_x
_atom_site_fract_y
_atom_site_fract_z
Cr1 Cr 0.0000 0.0000 0.0000
Si1 Si 0.5000 0.5000 0.5000
Pb1 Pb 0.0000 0.0000 0.5000
```

Calculated values
Fermi-level density of states, states/eV per cell: 5.1
Total moment, μB per cell: 3.2
V, Å³/atom: 28.51
Distance to the lowest polymorph of the same formula, eV/atom: 0.000